[1]
Crystalline Na7SbO6 at its relaxed geometry. Source: Alexandria, functional PBEsol.

Calculated values
Fermi-level density of states   0.0 states/eV/cell
E_form (uncorrected)   -1.4376 eV per atom
Crystal system   trigonal
Space group   R3 (146)

Unit cell a=6.313 b=6.313 c=6.313 alpha=61.39 beta=61.39 gamma=61.39
Atoms (fractional coordinates):
Na (0.113, 0.499, 0.706)
Na (0.481, 0.250, 0.959)
Na (0.250, 0.959, 0.481)
Na (0.654, 0.654, 0.654)
Na (0.499, 0.706, 0.113)
Na (0.706, 0.113, 0.499)
Na (0.959, 0.481, 0.250)
Sb (0.001, 0.001, 0.001)
O (0.213, 0.678, 0.889)
O (0.337, 0.077, 0.813)
O (0.077, 0.813, 0.337)
O (0.889, 0.213, 0.678)
O (0.678, 0.889, 0.213)
O (0.813, 0.337, 0.077)


[2]
Crystalline Cs2CaHfH at its relaxed geometry. Source: Alexandria, functional PBEsol.

Calculated values
Fermi-level density of states   7.0 states/eV/cell
Total DFT energy (no corrections)   -12.5 eV/cell
Crystal system   tetragonal
Space group   P4/mmm (123)

Unit cell a=3.841 b=7.385 c=7.385 alpha=90.00 beta=90.00 gamma=90.00
Atoms (fractional coordinates):
Cs (0.000, 0.000, 0.500)
Cs (0.000, 0.500, 0.000)
H (0.500, 0.000, 0.000)
Ca (0.000, 0.000, 0.000)
Hf (0.500, 0.500, 0.500)


[3]
Crystalline TaCrAu2 at its relaxed geometry. Source: Alexandria, functional PBEsol.

Calculated values
Fermi-level density of states   3.1 states/eV/cell
Crystal system   tetragonal
Offset from the most stable computed form   0.000 eV per atom
Energy of formation   0.102 eV per atom
Space group   I4/mmm (139)

Unit cell a=3.908 b=3.908 c=4.963 alpha=113.19 beta=113.19 gamma=90.00
Atoms (fractional coordinates):
Au (0.750, 0.250, 0.500)
Au (0.250, 0.750, 0.500)
Cr (0.500, 0.500, 0.000)
Ta (0.000, 0.000, 0.000)


[4]
Crystalline KPb3 at its relaxed geometry. Source: Alexandria, functional PBEsol.

Calculated values
Fermi-level density of states   1.8 states/eV/cell
Crystal system   orthorhombic
Energy of formation   -0.086 eV per atom
Space group   Pmmm (47)

Unit cell a=3.690 b=4.681 c=7.555 alpha=90.00 beta=90.00 gamma=90.00
Atoms (fractional coordinates):
Pb (0.500, 0.500, 0.706)
Pb (0.000, 0.000, 0.500)
Pb (0.500, 0.500, 0.294)
K (0.000, 0.000, 0.000)


[5]
Crystalline ScCr2Rh at its relaxed geometry. Source: Alexandria, functional PBEsol.

Calculated values
Fermi-level density of states   4.7 states/eV/cell
Crystal system   orthorhombic
Energy of formation   0.236 eV per atom
Space group   Cmmm (65)

Unit cell a=2.653 b=4.828 c=4.932 alpha=119.30 beta=90.00 gamma=90.00
Atoms (fractional coordinates):
Cr (0.000, 0.500, 0.500)
Cr (0.000, 0.000, 0.500)
Rh (0.500, 0.000, 0.000)
Sc (0.500, 0.500, 0.000)


[6]
Crystalline KMnIn at its relaxed geometry. Source: Alexandria, functional PBEsol.

Calculated values
Fermi-level density of states   4.6 states/eV/cell
Crystal system   cubic
Energy of formation   0.923 eV per atom
Space group   F-43m (216)

Unit cell a=5.116 b=5.116 c=5.116 alpha=60.00 beta=60.00 gamma=60.00
Atoms (fractional coordinates):
In (0.250, 0.250, 0.250)
K (0.000, 0.000, 0.000)
Mn (0.500, 0.500, 0.500)


[7]
Crystalline SiRu2 at its relaxed geometry. Source: Alexandria, functional PBEsol.

Calculated values
Fermi-level density of states   4.2 states/eV/cell
E_form (uncorrected)   -0.3715 eV per atom
Crystal system   monoclinic
Space group   Cm (8)

Unit cell a=2.785 b=4.870 c=6.077 alpha=96.80 beta=90.00 gamma=106.62
Atoms (fractional coordinates):
Ru (0.968, 0.936, 0.025)
Ru (0.334, 0.667, 0.655)
Ru (0.696, 0.392, 0.321)
Ru (0.606, 0.212, 0.728)
Si (0.983, 0.967, 0.421)
Si (0.247, 0.493, 0.017)


[8]
Crystalline NbRhPb2 at its relaxed geometry. Source: Alexandria, functional PBEsol.

Calculated values
Fermi-level density of states   4.7 states/eV/cell
Crystal system   cubic
Energy of formation   0.349 eV per atom
Space group   Fm-3m (225)

Unit cell a=4.790 b=4.790 c=4.790 alpha=60.00 beta=60.00 gamma=60.00
Atoms (fractional coordinates):
Pb (0.250, 0.250, 0.250)
Pb (0.750, 0.750, 0.750)
Nb (0.000, 0.000, 0.000)
Rh (0.500, 0.500, 0.500)


[9]
Crystalline CaTaNO2 at its relaxed geometry. Source: Alexandria, functional PBEsol.

Calculated values
Fermi-level density of states   0.0 states/eV/cell
E_form (uncorrected)   -2.4805 eV per atom
Crystal system   orthorhombic
Space group   Pmc2_1 (26)

Unit cell a=5.539 b=5.649 c=7.770 alpha=90.00 beta=90.00 gamma=90.00
Atoms (fractional coordinates):
Ca (0.240, 0.451, 0.500)
Ca (0.760, 0.951, 0.500)
Ca (0.735, 0.037, 0.000)
Ca (0.265, 0.537, 0.000)
Ta (0.764, 0.490, 0.254)
Ta (0.236, 0.990, 0.254)
Ta (0.236, 0.990, 0.746)
Ta (0.764, 0.490, 0.746)
N (0.964, 0.216, 0.703)
N (0.036, 0.716, 0.297)
N (0.964, 0.216, 0.297)
N (0.036, 0.716, 0.703)
O (0.832, 0.482, 0.000)
O (0.539, 0.795, 0.201)
O (0.350, 0.030, 0.500)
O (0.168, 0.982, 0.000)
O (0.650, 0.530, 0.500)
O (0.539, 0.795, 0.799)
O (0.461, 0.295, 0.201)
O (0.461, 0.295, 0.799)


[10]
Crystalline Sc2BeAu at its relaxed geometry. Source: Alexandria, functional PBEsol.

Calculated values
Fermi-level density of states   2.3 states/eV/cell
Crystal system   tetragonal
Energy of formation   -0.450 eV per atom
Space group   P4/mmm (123)

Unit cell a=3.267 b=3.267 c=6.412 alpha=90.00 beta=90.00 gamma=90.00
Atoms (fractional coordinates):
Sc (0.000, 0.000, 0.734)
Sc (0.000, 0.000, 0.266)
Be (0.500, 0.500, 0.500)
Au (0.500, 0.500, 0.000)


[11]
Crystalline As2PdPtSe at its relaxed geometry. Source: Alexandria, functional PBEsol.

Calculated values
Fermi-level density of states   4.6 states/eV/cell
E_form (uncorrected)   0.7728 eV per atom
Crystal system   tetragonal
Space group   P4/mmm (123)

Unit cell a=4.730 b=4.730 c=5.043 alpha=90.00 beta=90.00 gamma=90.00
Atoms (fractional coordinates):
As (0.000, 0.500, 0.000)
As (0.500, 0.000, 0.000)
Se (0.000, 0.000, 0.500)
Pd (0.500, 0.500, 0.500)
Pt (0.000, 0.000, 0.000)


[12]
Crystalline RbCaTl2 at its relaxed geometry. Source: Alexandria, functional PBEsol.

Calculated values
Fermi-level density of states   2.7 states/eV/cell
Crystal system   cubic
Energy of formation   -0.108 eV per atom
Space group   Fm-3m (225)

Unit cell a=5.702 b=5.702 c=5.702 alpha=60.00 beta=60.00 gamma=60.00
Atoms (fractional coordinates):
Tl (0.250, 0.250, 0.250)
Tl (0.750, 0.750, 0.750)
Ca (0.000, 0.000, 0.000)
Rb (0.500, 0.500, 0.500)